Material: Ag2RhPb
Method: DFT, PBE
State: relaxed

```
Ag2RhPb
1.0
9.662 -1.546 -0.008
9.662 1.546 -0.008
9.417 0.000 2.659
Ag Rh Pb
2 1 1
direct
0.742 0.742 0.742
0.258 0.258 0.258
0.000 0.000 0.000
0.500 0.500 0.500
```

Space group = R-3m
Size of the total moment = 0.51 μB per cell
Formation enthalpy at 0 K = 0.354 eV/atom

Material: Lu2GaTe
Method: DFT, PBE
State: relaxed

```
Lu2GaTe
1.0
4.026 0.000 0.000
2.013 3.487 0.000
2.013 1.162 7.419
Lu Te Ga
2 1 1
direct
0.256 0.256 0.231
0.744 0.744 0.769
0.500 0.500 0.500
0.000 0.000 0.000
```

Space group = R-3m
Energy = -18.58 eV per cell
Size of the total moment = 0.00 μB per cell

Material: Ta2AlTl
Method: DFT, PBE
State: relaxed

```
Ta2AlTl
1.0
5.272 0.011 0.000
-2.109 4.832 0.000
0.000 0.000 2.926
Tl Al Ta
1 1 2
direct
0.500 0.000 0.500
0.000 0.500 0.500
0.000 0.000 0.000
0.500 0.500 0.000
```

Space group = Cmmm
Size of the total moment = 0.00 μB per cell
Formation enthalpy at 0 K = 0.281 eV/atom

Number 1: calculated density 10955 kg/m³. Number 2: calculated density 8725 kg/m³. Number 3: calculated density 13202 kg/m³.